1.
! GGA+U KV3P4O17, optimized geometry; values from VASP
! VASP energy ... -7.298 eV/atom
! Space-group type ... P2_12_12_1 (19)
&SYSTEM
  ibrav = 0, nat = 100, ntyp = 4
/
ATOMIC_SPECIES
K 39.10 K.upf
V 50.94 V.upf
P 30.97 P.upf
O 16.00 O.upf
CELL_PARAMETERS angstrom
7.826 0.000 0.000
0.000 10.189 0.000
0.000 0.000 16.688
ATOMIC_POSITIONS crystal
K 0.996 0.549 0.821
K 0.504 0.451 0.321
K 0.004 0.049 0.679
K 0.496 0.951 0.179
V 0.211 0.753 0.996
V 0.718 0.817 0.349
V 0.782 0.183 0.849
V 0.282 0.317 0.151
V 0.218 0.683 0.651
V 0.711 0.747 0.004
V 0.789 0.253 0.504
V 0.289 0.247 0.496
V 0.714 0.680 0.653
V 0.214 0.820 0.347
V 0.286 0.180 0.847
V 0.786 0.320 0.153
P 0.306 0.365 0.686
P 0.194 0.635 0.186
P 0.694 0.865 0.814
P 0.806 0.135 0.314
P 0.301 0.939 0.535
P 0.801 0.561 0.465
P 0.699 0.439 0.965
P 0.199 0.061 0.035
P 0.307 0.864 0.815
P 0.807 0.636 0.185
P 0.693 0.364 0.685
P 0.193 0.136 0.315
P 0.300 0.439 0.967
P 0.800 0.061 0.033
P 0.700 0.939 0.533
P 0.200 0.561 0.467
O 0.500 0.443 0.983
O 0.000 0.057 0.017
O 0.500 0.943 0.517
O 0.000 0.557 0.483
O 0.500 0.381 0.714
O 0.000 0.119 0.286
O 0.500 0.881 0.786
O 0.000 0.619 0.214
O 0.266 0.867 0.613
O 0.766 0.633 0.387
O 0.734 0.367 0.887
O 0.234 0.133 0.113
O 0.224 0.756 0.766
O 0.724 0.744 0.234
O 0.776 0.256 0.734
O 0.276 0.244 0.266
O 0.280 0.615 0.542
O 0.780 0.885 0.458
O 0.720 0.115 0.958
O 0.220 0.385 0.042
O 0.223 0.499 0.699
O 0.723 0.001 0.301
O 0.777 0.999 0.801
O 0.277 0.501 0.199
O 0.012 0.773 0.971
O 0.318 0.824 0.904
O 0.682 0.324 0.596
O 0.182 0.176 0.404
O 0.243 0.582 0.950
O 0.743 0.918 0.050
O 0.757 0.082 0.550
O 0.257 0.418 0.450
O 0.997 0.327 0.164
O 0.497 0.173 0.836
O 0.003 0.827 0.336
O 0.503 0.673 0.664
O 0.727 0.244 0.263
O 0.227 0.256 0.737
O 0.273 0.744 0.237
O 0.773 0.756 0.763
O 0.494 0.313 0.143
O 0.994 0.187 0.857
O 0.506 0.813 0.357
O 0.006 0.687 0.643
O 0.762 0.136 0.110
O 0.262 0.364 0.890
O 0.238 0.636 0.390
O 0.738 0.864 0.610
O 0.723 0.502 0.196
O 0.223 0.998 0.804
O 0.277 0.002 0.304
O 0.777 0.498 0.696
O 0.782 0.384 0.039
O 0.282 0.116 0.961
O 0.218 0.884 0.461
O 0.718 0.616 0.539
O 0.309 0.326 0.597
O 0.809 0.174 0.403
O 0.691 0.826 0.903
O 0.191 0.674 0.097
O 0.247 0.085 0.550
O 0.747 0.415 0.450
O 0.753 0.585 0.950
O 0.253 0.915 0.050
O 0.488 0.227 0.471
O 0.988 0.273 0.529
O 0.512 0.727 0.029
O 0.818 0.676 0.096


2.
! GGA+U KP2W7O25, optimized geometry; values from VASP
! VASP energy ... -7.395 eV/atom
! Space-group type ... Cm (8)
&SYSTEM
  ibrav = 0, nat = 35, ntyp = 4
/
ATOMIC_SPECIES
K 39.10 K.upf
P 30.97 P.upf
W 183.84 W.upf
O 16.00 O.upf
CELL_PARAMETERS angstrom
-11.383 -8.056 1.907
-7.807 -11.711 -0.004
1.439 -1.931 6.384
ATOMIC_POSITIONS crystal
K 0.254 0.254 0.627
P 0.793 0.793 0.807
P 0.207 0.207 0.195
W 0.999 0.999 0.995
W 0.554 0.554 0.299
W 0.443 0.443 0.695
W 0.112 0.112 0.598
W 0.885 0.885 0.391
W 0.668 0.668 0.910
W 0.331 0.331 0.089
O 0.900 0.400 0.748
O 0.601 0.101 0.266
O 0.101 0.601 0.266
O 0.400 0.900 0.748
O 0.062 0.062 0.794
O 0.938 0.938 0.201
O 0.780 0.279 0.159
O 0.715 0.228 0.843
O 0.228 0.715 0.843
O 0.279 0.780 0.159
O 0.177 0.177 0.402
O 0.822 0.822 0.601
O 0.614 0.614 0.092
O 0.386 0.386 0.907
O 0.836 0.343 0.451
O 0.663 0.161 0.554
O 0.161 0.663 0.554
O 0.343 0.836 0.451
O 0.738 0.738 0.766
O 0.261 0.261 0.236
O 0.964 0.429 0.079
O 0.565 0.038 0.917
O 0.038 0.565 0.917
O 0.429 0.964 0.079
O 0.501 0.501 0.499


3.
! GGA+U KP2W6O22, optimized geometry; values from VASP
! VASP energy ... -7.373 eV/atom
! Space-group type ... Pm (6)
&SYSTEM
  ibrav = 0, nat = 31, ntyp = 4
/
ATOMIC_SPECIES
K 39.10 K.upf
P 30.97 P.upf
W 183.84 W.upf
O 16.00 O.upf
CELL_PARAMETERS angstrom
-2.553 4.465 -1.835
-3.940 -3.891 -3.986
-8.452 -1.278 8.653
ATOMIC_POSITIONS crystal
K 0.000 0.136 0.502
P 0.000 0.664 0.598
P 0.500 0.337 0.402
W 0.000 0.650 0.315
W 0.500 0.355 0.685
W 0.000 0.009 0.809
W 0.500 0.995 0.192
W 0.000 0.332 0.062
W 0.500 0.673 0.940
O 0.232 0.541 0.618
O 0.737 0.454 0.381
O 0.263 0.454 0.381
O 0.768 0.541 0.618
O 0.000 0.744 0.475
O 0.500 0.258 0.525
O 0.751 0.824 0.274
O 0.253 0.179 0.724
O 0.747 0.179 0.724
O 0.249 0.824 0.274
O 0.000 0.849 0.666
O 0.500 0.149 0.336
O 0.000 0.168 0.925
O 0.500 0.828 0.072
O 0.748 0.155 0.135
O 0.254 0.837 0.868
O 0.746 0.837 0.868
O 0.252 0.155 0.135
O 0.000 0.508 0.194
O 0.500 0.501 0.806
O 0.256 0.503 0.998
O 0.744 0.503 0.998